First-principles (PBE) data for YErTlS after structural relaxation, as listed in Alexandria.

abc: 3.780 3.783 8.387
angles: 90.00 102.95 119.98
Sites, in units of the cell vectors:
Y 0.101 0.948 0.064
Er 0.504 0.150 0.669
Tl 0.970 0.383 0.369
S 0.303 0.549 0.867

Summary:
Final energy = -5.52 eV/atom
Space-group type = Cm
Energy relative to the elements, uncorrected = -1144 meV per atom
Crystal system = monoclinic